1.
Computed, not measured: a geometry-optimized TlAgS structure at the PBE level of DFT.

POSCAR file:
```
TlAgS
1.0
4.551 0.000 0.000
0.000 4.367 0.000
0.000 -2.183 3.782
Tl S Ag
1 1 1
direct
0.667 0.667 0.333 Tl
0.166 0.000 0.000 S
0.167 0.333 0.667 Ag
```

As for the uncorrected formation energy: -0.195 eV/atom.

=====

2.
Computed, not measured: a geometry-optimized LiTcS2N structure at the PBE level of DFT.

POSCAR file:
```
LiTcS2N
1.0
4.426 0.000 0.000
0.000 4.426 0.000
0.000 0.000 3.417
S Li Tc N
2 1 1 1
direct
0.000 0.500 0.000 S
0.500 0.000 0.000 S
0.000 0.000 0.000 Li
0.500 0.500 0.500 Tc
0.000 0.000 0.500 N
```

Its excess energy over the best structure of this formula in the dataset is 1208 meV per atom. As for the uncorrected formation energy: 1.167 eV/atom.

=====

3.
Computed, not measured: a geometry-optimized K3Sn3Hg2 structure at the PBE level of DFT.

POSCAR file:
```
K3Sn3Hg2
1.0
-0.862 -2.608 4.943
-4.386 -1.066 -4.562
8.617 -12.858 -5.281
K Sn Hg
6 6 4
direct
0.660 0.320 0.036 K
0.340 0.680 0.536 K
0.660 0.320 0.464 K
0.340 0.680 0.964 K
0.514 0.029 0.250 K
0.486 0.971 0.750 K
0.977 0.954 0.093 Sn
0.023 0.046 0.593 Sn
0.977 0.954 0.407 Sn
0.023 0.046 0.907 Sn
0.827 0.654 0.250 Sn
0.173 0.346 0.750 Sn
0.778 0.555 0.660 Hg
0.222 0.445 0.160 Hg
0.778 0.555 0.840 Hg
0.222 0.445 0.340 Hg
```

The value obtained for the energy of formation is -0.142 eV/atom.

=====

4.
Computed, not measured: a geometry-optimized ReAg2Pb structure at the PBE level of DFT.

POSCAR file:
```
ReAg2Pb
1.0
4.511 0.000 0.000
0.000 4.071 0.000
0.000 0.000 4.071
Pb Re Ag
1 1 2
direct
0.500 0.500 0.000 Pb
0.500 0.000 0.500 Re
0.000 0.000 0.000 Ag
0.000 0.500 0.500 Ag
```

The value obtained for the energy of formation is 0.782 eV/atom.

=====

5.
Computed, not measured: a geometry-optimized AcTm3 structure at the PBE level of DFT.

POSCAR file:
```
AcTm3
1.0
-0.640 -2.895 -4.935
4.593 -1.164 -3.271
1.927 -5.408 -0.436
Ac Tm
1 3
direct
0.500 0.500 0.500 Ac
0.000 0.000 0.000 Tm
0.750 0.750 0.750 Tm
0.250 0.250 0.250 Tm
```

The value obtained for the energy of formation is 0.128 eV/atom.

=====

6.
Computed, not measured: a geometry-optimized LaScBi2 structure at the PBE level of DFT.

POSCAR file:
```
LaScBi2
1.0
-2.537 0.738 2.850
0.467 -3.969 1.469
6.302 4.125 2.939
La Sc Bi
1 1 2
direct
0.192 0.890 0.249 La
0.345 0.649 0.761 Sc
0.761 0.500 0.467 Bi
0.837 0.236 0.935 Bi
```

The value obtained for the energy of formation is -0.642 eV/atom. Its excess energy over the best structure of this formula in the dataset is 200 meV per atom.

=====

7.
Computed, not measured: a geometry-optimized LiZrRe2 structure at the PBE level of DFT.

POSCAR file:
```
LiZrRe2
1.0
2.712 -0.004 0.000
-0.859 2.572 0.000
0.000 0.000 9.298
Li Re Zr
1 2 1
direct
0.500 0.500 0.750 Li
0.000 0.000 0.993 Re
0.000 0.000 0.507 Re
0.500 0.500 0.250 Zr
```

The value obtained for the energy of formation is 0.237 eV/atom. Its excess energy over the best structure of this formula in the dataset is 157 meV per atom.

=====

8.
Computed, not measured: a geometry-optimized Rb2BaAg2Cl7 structure at the PBE level of DFT.

POSCAR file:
```
Rb2BaAg2Cl7
1.0
5.203 -0.003 0.014
0.003 5.203 0.014
2.566 2.563 13.276
Rb Ba Ag Cl
2 1 2 7
direct
0.819 0.819 0.361 Rb
0.181 0.181 0.639 Rb
0.000 0.000 0.000 Ba
0.599 0.599 0.802 Ag
0.401 0.401 0.198 Ag
0.500 0.500 0.000 Cl
0.304 0.304 0.393 Cl
0.696 0.696 0.607 Cl
0.916 0.416 0.169 Cl
0.416 0.916 0.169 Cl
0.584 0.084 0.831 Cl
0.084 0.584 0.831 Cl
```

As for the uncorrected formation energy: -1.442 eV/atom.